[1]
## MgInSi2 (PBE)

Data for crystalline MgInSi2 at its relaxed geometry.

Calculated values
The theoretical density comes out at 4.18 g/cm3. The value obtained for the total energy is -3.49 eV/atom. Its offset from the most stable computed form is 125 meV per atom. Its volume is 78 Å³/cell.

Lattice parameters (Å, degrees): 5.035 7.004 3.188 59.77 91.92 122.42
Fractional positions:
In1 0.500 0.500 0.000
Mg1 0.500 0.000 0.500
Si1 0.000 0.000 0.000
Si2 0.000 0.500 0.500


[2]
## Y6HoIn5 (PBE)

Data for crystalline Y6HoIn5 at its relaxed geometry.

Calculated values
The theoretical density comes out at 6.40 g/cm3. The value obtained for the total energy is -5.16 eV/atom. For the formation enthalpy at 0 K, the calculation gives -410 meV per atom. Its volume is 330 Å³/cell.

Lattice parameters (Å, degrees): 4.986 8.781 9.078 118.93 105.94 90.00
Fractional positions:
Y1 0.830 0.567 0.660
Y2 0.830 0.093 0.660
Y3 0.500 0.728 0.000
Y4 0.500 0.272 0.000
Y5 0.170 0.907 0.340
Y6 0.170 0.433 0.340
Ho1 0.000 0.000 0.000
In1 0.650 0.150 0.301
In2 0.323 0.323 0.647
In3 0.000 0.500 0.000
In4 0.677 0.677 0.353
In5 0.350 0.850 0.699


[3]
## NaNiS (PBE)

Data for crystalline NaNiS at its relaxed geometry.

Calculated values
The theoretical density comes out at 3.91 g/cm3. The value obtained for the total energy is -4.28 eV/atom. Its volume is 97 Å³/cell.

Lattice parameters (Å, degrees): 3.805 3.806 6.674 90.01 90.01 90.01
Site moments in Bohr magnetons follow the coordinates.
Fractional positions:
Na1 0.023 0.838 0.676  0.00
Na2 0.523 0.338 0.371  0.00
Ni1 0.023 0.338 0.024  0.78
Ni2 0.523 0.838 0.024  0.78
S1 0.523 0.338 0.816  0.13
S2 0.023 0.838 0.230  0.13


[4]
## AcPr2ErTe5 (PBE)

Data for crystalline AcPr2ErTe5 at its relaxed geometry.

Calculated values
The theoretical density comes out at 5.88 g/cm3. The value obtained for the total energy is -4.73 eV/atom. Its volume is 371 Å³/cell.

Lattice parameters (Å, degrees): 5.517 5.517 12.203 90.00 90.00 90.00
Fractional positions:
Ac1 0.000 0.000 0.000
Pr1 0.500 0.500 0.349
Pr2 0.500 0.500 0.651
Er1 0.000 0.000 0.500
Te1 0.000 0.500 0.500
Te2 0.500 0.000 0.500
Te3 0.000 0.000 0.743
Te4 0.000 0.000 0.257
Te5 0.500 0.500 0.000